# BaHo4TmS8, optimized geometry, DFT PBE
data_BaHo4TmS8
_space_group_name_H-M_alt 'R 3 m'
_space_group_IT_number 160
_space_group_name_Hall 'R 3 -2"'
_cell_length_a 8.2018
_cell_length_b 8.2018
_cell_length_c 20.0216
_cell_angle_alpha 90.00
_cell_angle_beta 90.00
_cell_angle_gamma 120.00
loop_
_atom_site_label
_atom_site_type_symbol
_atom_site_fract_x
_atom_site_fract_y
_atom_site_fract_z
_atom_site_occupancy
Ba1 Ba 0.0000 0.0000 0.0000 1
Ho1 Ho 0.0000 0.0000 0.2495 1
Ho2 Ho 0.1691 0.3382 0.4573 1
Tm1 Tm 0.0000 0.0000 0.6264 1
S1 S 0.0000 0.0000 0.3817 1
S2 S 0.0000 0.0000 0.8564 1
S3 S 0.0501 0.5250 0.3799 1
S4 S 0.1770 0.3540 0.2063 1
# Size of the total moment, μB per cell: 0.000
# Formation energy from raw total energies, eV per atom: -1.96